! PBE MgSbTe2, relaxed; values from VASP
&SYSTEM
  ibrav = 0, nat = 4, ntyp = 3
/
ATOMIC_SPECIES
Mg 24.30 Mg.upf
Sb 121.76 Sb.upf
Te 127.60 Te.upf
CELL_PARAMETERS angstrom
0.000 3.782 3.782
3.782 0.000 3.782
3.782 3.782 0.000
ATOMIC_POSITIONS crystal
Mg 0.000 0.000 0.000
Sb 0.500 0.500 0.500
Te 0.250 0.250 0.250
Te 0.750 0.750 0.750
! Final energy: -3.040 eV per atom
! Total moment: 0.0 μB per cell
! Formation energy from raw total energies: -0.04 eV/atom
! Crystal system: cubic